Entry from Alexandria via LeMat-Bulk: a relaxed structure of LiScTeO2 (PBEsol).

## Properties
Its uncorrected formation energy is -0.481 eV/atom. The space-group type is P4/mmm, No. 123. As for the total magnetic moment: 0.001 Bohr magnetons per cell. As for the total energy: -5.0002 eV per atom.

Cell: 3.908 3.908 4.282 Å, 90.00 90.00 90.00°
Sites, in units of the cell vectors:
1 Sc 0.000 0.000 0.500
2 O 0.500 0.000 0.000
3 O 0.000 0.500 0.000
4 Li 0.000 0.000 0.000
5 Te 0.500 0.500 0.500